LiOs2Cl after structural relaxation, computed with PBEsol.

It has space group Pm (No. 6), with a = 2.827 Å, b = 3.515 Å, c = 6.363 Å, α = 90.00°, β = 102.91° and γ = 90.00°. The asymmetric unit holds Li at (0.000, 0.000, 0.000), Os at (0.243, 0.000, 0.484), Os at (0.653, 0.500, 0.305) and Cl at (0.448, 0.500, 0.897).

Its distance to the lowest polymorph of the same formula is 0 meV/atom. The raw formation energy comes out at 0.154 eV/atom.